1.
VASP calculation (PBE) on a geometry-optimized CeHfBiO6 structure.

The structure in CIF format:
```
data_CeHfBiO6
_chemical_formula_sum 'Ce2 Hf2 Bi2 O12'
_cell_length_a 5.0701
_cell_length_b 5.0701
_cell_length_c 10.4202
_cell_angle_alpha 90.00
_cell_angle_beta 90.00
_cell_angle_gamma 90.00
_space_group_name_H-M_alt 'P 1'
_space_group_IT_number 1
loop_
_space_group_symop_operation_xyz
'x,y,z'
loop_
_atom_site_label
_atom_site_fract_x
_atom_site_fract_y
_atom_site_fract_z
_atom_site_occupancy
Ce1 0.5000 0.5000 0.1675 1
Ce2 0.0000 0.0000 0.6675 1
Hf1 0.5000 0.5000 0.8329 1
Hf2 0.0000 0.0000 0.3329 1
Bi1 0.5000 0.5000 0.4983 1
Bi2 0.0000 0.0000 0.9983 1
O1 0.1848 0.8152 0.4890 1
O2 0.8152 0.1848 0.4890 1
O3 0.3152 0.3152 0.9890 1
O4 0.6848 0.6848 0.9890 1
O5 0.1881 0.8119 0.1776 1
O6 0.8119 0.1881 0.1776 1
O7 0.3119 0.3119 0.6776 1
O8 0.6881 0.6881 0.6776 1
O9 0.7942 0.2058 0.8341 1
O10 0.2058 0.7942 0.8341 1
O11 0.7058 0.7058 0.3341 1
O12 0.2942 0.2942 0.3341 1
```

Computed properties:
ΔE_f (raw): -2565 meV/atom


2.
VASP calculation (PBE) on a geometry-optimized K2Y structure.

The structure in CIF format:
```
data_K2Y
_chemical_formula_sum 'K4 Y2'
_cell_length_a 8.4363
_cell_length_b 8.4363
_cell_length_c 10.1025
_cell_angle_alpha 78.61
_cell_angle_beta 78.61
_cell_angle_gamma 26.06
_space_group_name_H-M_alt 'P 1'
_space_group_IT_number 1
loop_
_space_group_symop_operation_xyz
'x,y,z'
loop_
_atom_site_label
_atom_site_fract_x
_atom_site_fract_y
_atom_site_fract_z
_atom_site_occupancy
K1 0.0319 0.0319 0.6730 1
K2 0.3599 0.3599 0.0145 1
K3 0.6401 0.6401 0.9855 1
K4 0.9681 0.9681 0.3270 1
Y1 0.7162 0.7162 0.3815 1
Y2 0.2838 0.2838 0.6185 1
```

Computed properties:
Energy of formation: 9.46 kcal/mol of atoms


3.
VASP calculation (PBE) on a geometry-optimized InSiMo2 structure.

The structure in CIF format:
```
data_InSiMo2
_chemical_formula_sum 'In1 Si1 Mo2'
_cell_length_a 4.7169
_cell_length_b 4.7169
_cell_length_c 4.9809
_cell_angle_alpha 78.68
_cell_angle_beta 78.68
_cell_angle_gamma 39.43
_space_group_name_H-M_alt 'P 1'
_space_group_IT_number 1
loop_
_space_group_symop_operation_xyz
'x,y,z'
loop_
_atom_site_label
_atom_site_fract_x
_atom_site_fract_y
_atom_site_fract_z
_atom_site_occupancy
In1 0.2500 0.2500 0.2500 1
Mo1 0.0101 0.0101 0.9480 1
Mo2 0.4899 0.4899 0.5520 1
Si1 0.7500 0.7500 0.7500 1
```

Computed properties:
Offset from the most stable computed form: 221.2 meV per atom
ΔE_f (raw): 260 meV/atom


4.
VASP calculation (PBE) on a geometry-optimized PmPrDy5Ho2 structure.

The structure in CIF format:
```
data_PmPrDy5Ho2
_chemical_formula_sum 'Pm2 Pr2 Dy10 Ho4'
_cell_length_a 5.6250
_cell_length_b 10.3329
_cell_length_c 10.6035
_cell_angle_alpha 90.00
_cell_angle_beta 90.00
_cell_angle_gamma 105.79
_space_group_name_H-M_alt 'P 1'
_space_group_IT_number 1
loop_
_space_group_symop_operation_xyz
'x,y,z'
loop_
_atom_site_label
_atom_site_fract_x
_atom_site_fract_y
_atom_site_fract_z
_atom_site_occupancy
Pm1 0.7988 0.5976 0.5123 1
Pm2 0.2012 0.4024 0.0123 1
Pr1 0.5829 0.1658 0.9498 1
Pr2 0.4171 0.8342 0.4498 1
Dy1 0.3903 0.7805 0.0239 1
Dy2 0.7188 0.4375 0.8109 1
Dy3 0.4778 0.9556 0.7362 1
Dy4 0.2985 0.5969 0.7091 1
Dy5 0.9828 0.9656 0.5264 1
Dy6 0.6097 0.2195 0.5239 1
Dy7 0.2812 0.5625 0.3109 1
Dy8 0.5222 0.0444 0.2362 1
Dy9 0.7015 0.4031 0.2091 1
Dy10 0.0172 0.0344 0.0264 1
Ho1 0.8862 0.7724 0.8211 1
Ho2 0.1107 0.2215 0.7343 1
Ho3 0.1138 0.2276 0.3211 1
Ho4 0.8893 0.7785 0.2343 1
```

Computed properties:
Energy of formation: 3.69 kcal/mol of atoms


| no. | total magnetization (μB/cell) |
| --- | --- |
| 1 | 0.00 |
| 2 | 1.80 |
| 3 | 0.00 |
| 4 | 0.00 |